1.
AlZn2Te: optimized geometry, PBE.

The density of states at the Fermi level is 1.22 states/eV/cell. The total DFT energy (no corrections) comes out at -2.238 eV/atom. As for the energy above the most stable polymorph in this dataset: 11.7 kJ/mol of atoms.

The structure belongs to space group P4mm (No. 99); the cell edges are 3.746, 3.746 and 6.911 Å and the angles 90.00°, 90.00° and 90.00°. The asymmetric unit holds Al at (0.000, 0.000, 0.000), Zn at (0.000, 0.000, 0.631), Zn at (0.500, 0.500, 0.558) and Te at (0.500, 0.500, 0.135).



2.
Al2ZnTe: optimized geometry, PBE.

The density of states at the Fermi level is 2.96 states/eV/cell. The total DFT energy (no corrections) comes out at -2.866 eV/atom. As for the energy above the most stable polymorph in this dataset: 6.5 kJ/mol of atoms.

The structure belongs to space group C2/m (No. 12); the cell edges are 5.588, 10.523 and 3.818 Å and the angles 90.00°, 130.77° and 90.00°. The asymmetric unit holds Al at (0.250, 0.250, 0.000), Zn at (0.000, 0.000, 0.500) and Te at (0.000, 0.500, 0.500).



3.
AlZn2Te: optimized geometry, PBE.

The density of states at the Fermi level is 1.17 states/eV/cell. The total DFT energy (no corrections) comes out at -2.257 eV/atom. As for the energy above the most stable polymorph in this dataset: 9.8 kJ/mol of atoms.

The structure belongs to space group Pm (No. 6); the cell edges are 4.165, 3.728 and 5.760 Å and the angles 90.00°, 108.40° and 90.00°. The asymmetric unit holds Al at (0.000, 0.000, 0.000), Zn at (0.479, 0.000, 0.435), Zn at (0.610, 0.500, 0.120) and Te at (0.092, 0.500, 0.647).



4.
AlZn2Te: optimized geometry, PBE.

The density of states at the Fermi level is 2.74 states/eV/cell. The total DFT energy (no corrections) comes out at -2.175 eV/atom. As for the energy above the most stable polymorph in this dataset: 17.7 kJ/mol of atoms.

The structure belongs to space group Imm2 (No. 44); the cell edges are 3.814, 5.682 and 7.993 Å and the angles 90.00°, 90.00° and 90.00°. The asymmetric unit holds Al at (0.000, 0.000, 0.000), Zn at (0.000, 0.000, 0.458), Zn at (0.000, 0.500, 0.735) and Te at (0.000, 0.500, 0.229).



5.
Al2ZnTe4: optimized geometry, PBE.

The density of states at the Fermi level is 0.00 states/eV/cell. The total DFT energy (no corrections) comes out at -3.501 eV/atom. As for the energy above the most stable polymorph in this dataset: 0.8 kJ/mol of atoms.

The structure belongs to space group P-42m (No. 111); the cell edges are 5.981, 5.981 and 6.143 Å and the angles 90.00°, 90.00° and 90.00°. The asymmetric unit holds Al at (0.000, 0.500, 0.000), Zn at (0.000, 0.000, 0.500) and Te at (0.267, 0.267, 0.736).



6.
Al3ZnTe: optimized geometry, PBE.

The density of states at the Fermi level is 1.66 states/eV/cell. The total DFT energy (no corrections) comes out at -2.864 eV/atom. As for the energy above the most stable polymorph in this dataset: 0.0 kJ/mol of atoms.

The structure belongs to space group Pm-3m (No. 221); the cell edges are 4.843, 4.843 and 4.843 Å and the angles 90.00°, 90.00° and 90.00°. The asymmetric unit holds Al at (0.000, 0.000, 0.500), Zn at (0.000, 0.000, 0.000) and Te at (0.500, 0.500, 0.500).



7.
AlZnTe4: optimized geometry, PBE.

The density of states at the Fermi level is 19.55 states/eV/cell. The total DFT energy (no corrections) comes out at -2.480 eV/atom.

The structure belongs to space group F-43m (No. 216); the cell edges are 9.071, 9.071 and 9.071 Å and the angles 90.00°, 90.00° and 90.00°. The asymmetric unit holds Al at (0.000, 0.000, 0.000), Zn at (0.250, 0.250, 0.250) and Te at (0.124, 0.124, 0.624).



8.
AlZn2Te: optimized geometry, PBE.

The density of states at the Fermi level is 1.45 states/eV/cell. The total DFT energy (no corrections) comes out at -2.144 eV/atom. As for the energy above the most stable polymorph in this dataset: 20.7 kJ/mol of atoms.

The structure belongs to space group P4/mmm (No. 123); the cell edges are 4.120, 4.120 and 4.944 Å and the angles 90.00°, 90.00° and 90.00°. The asymmetric unit holds Al at (0.000, 0.000, 0.000), Zn at (0.000, 0.500, 0.500) and Te at (0.500, 0.500, 0.000).



What is the formula in the third record?
AlZn2Te